No. 1
PmPr2NdSm4 | PBE | relaxed

a b c (Å): 6.333 3.667 12.139
angles (deg): 90.00 100.31 90.00
Element x y z (fractional)
Pm 0.000 0.000 0.000
Pr 0.500 0.000 0.500
Pr 0.500 0.500 0.000
Nd 0.000 0.500 0.500
Sm 0.249 0.500 0.249
Sm 0.250 0.000 0.750
Sm 0.750 0.000 0.250
Sm 0.751 0.500 0.751

Values from the calculation:
The uncorrected energy is -37.8 eV/f.u. The value obtained for the formation energy from the elements is 0.02 eV/atom. The calculation puts the density of states at the Fermi level at 1.555 states/eV/atom. For the total magnetic moment, the calculation gives 0.000 Bohr magnetons per cell.

No. 2
PmPr3Nd6Sm2 | PBE | relaxed

a b c (Å): 6.379 6.379 12.199
angles (deg): 95.04 95.04 120.00
Element x y z (fractional)
Pm 0.000 0.000 0.000
Pr 0.167 0.833 0.500
Pr 0.500 0.500 0.500
Pr 0.833 0.167 0.500
Nd 0.083 0.416 0.248
Nd 0.251 0.251 0.752
Nd 0.416 0.083 0.248
Nd 0.584 0.917 0.752
Nd 0.749 0.749 0.248
Nd 0.917 0.584 0.752
Sm 0.333 0.667 0.000
Sm 0.667 0.333 0.000

Values from the calculation:
The uncorrected energy is -57.0 eV/f.u. The value obtained for the formation energy from the elements is 0.01 eV/atom. The calculation puts the density of states at the Fermi level at 1.599 states/eV/atom. For the total magnetic moment, the calculation gives 0.000 Bohr magnetons per cell.

No. 3
Pm2Pr4NdSm2 | PBE | relaxed

a b c (Å): 8.221 8.221 8.212
angles (deg): 107.54 107.54 36.93
Element x y z (fractional)
Pm 0.111 0.111 0.168
Pm 0.889 0.889 0.832
Pr 0.222 0.222 0.832
Pr 0.445 0.445 0.167
Pr 0.555 0.555 0.833
Pr 0.778 0.778 0.168
Nd 0.000 0.000 0.500
Sm 0.333 0.333 0.501
Sm 0.667 0.667 0.499

Values from the calculation:
The uncorrected energy is -42.7 eV/f.u. The value obtained for the formation energy from the elements is 0.01 eV/atom. The calculation puts the density of states at the Fermi level at 1.591 states/eV/atom. For the total magnetic moment, the calculation gives 0.000 Bohr magnetons per cell.

No. 4
PmPr6Nd3Sm2 | PBE | relaxed

a b c (Å): 6.397 6.397 12.207
angles (deg): 95.04 95.04 120.02
Element x y z (fractional)
Pm 0.000 0.000 0.000
Pr 0.083 0.417 0.249
Pr 0.250 0.250 0.751
Pr 0.417 0.083 0.249
Pr 0.583 0.917 0.751
Pr 0.750 0.750 0.249
Pr 0.917 0.583 0.751
Nd 0.167 0.833 0.500
Nd 0.500 0.500 0.500
Nd 0.833 0.167 0.500
Sm 0.333 0.667 0.000
Sm 0.667 0.333 0.000

Values from the calculation:
The uncorrected energy is -57.0 eV/f.u. The value obtained for the formation energy from the elements is 0.01 eV/atom. The calculation puts the density of states at the Fermi level at 1.575 states/eV/atom. For the total magnetic moment, the calculation gives 0.000 Bohr magnetons per cell.

No. 5
Pm2PrNd2Sm4 | PBE | relaxed

a b c (Å): 9.743 9.743 9.802
angles (deg): 115.18 115.18 21.81
Element x y z (fractional)
Pm 0.148 0.148 0.166
Pm 0.852 0.852 0.834
Pr 0.000 0.000 0.500
Nd 0.333 0.333 0.500
Nd 0.667 0.667 0.500
Sm 0.185 0.185 0.834
Sm 0.481 0.481 0.166
Sm 0.519 0.519 0.834
Sm 0.815 0.815 0.166

Values from the calculation:
The uncorrected energy is -42.6 eV/f.u. The value obtained for the formation energy from the elements is 0.01 eV/atom. The calculation puts the density of states at the Fermi level at 1.321 states/eV/atom. For the total magnetic moment, the calculation gives 0.000 Bohr magnetons per cell.

No. 6
PmPrNdSm | PBE | relaxed

a b c (Å): 5.826 5.826 5.826
angles (deg): 60.00 60.00 60.00
Element x y z (fractional)
Pm 0.000 0.000 0.000
Pr 0.750 0.750 0.750
Nd 0.250 0.250 0.250
Sm 0.500 0.500 0.500

Values from the calculation:
Its energy above the most stable polymorph in this dataset is 116 meV/atom. The uncorrected energy is -18.5 eV/f.u. The value obtained for the formation energy from the elements is 0.13 eV/atom. The calculation puts the density of states at the Fermi level at 2.566 states/eV/atom. For the total magnetic moment, the calculation gives 0.001 Bohr magnetons per cell.

Repeat the third record exactly.
Pm2Pr4NdSm2 | PBE | relaxed

a b c (Å): 8.221 8.221 8.212
angles (deg): 107.54 107.54 36.93
Element x y z (fractional)
Pm 0.111 0.111 0.168
Pm 0.889 0.889 0.832
Pr 0.222 0.222 0.832
Pr 0.445 0.445 0.167
Pr 0.555 0.555 0.833
Pr 0.778 0.778 0.168
Nd 0.000 0.000 0.500
Sm 0.333 0.333 0.501
Sm 0.667 0.667 0.499

Values from the calculation:
The uncorrected energy is -42.7 eV/f.u. The value obtained for the formation energy from the elements is 0.01 eV/atom. The calculation puts the density of states at the Fermi level at 1.591 states/eV/atom. For the total magnetic moment, the calculation gives 0.000 Bohr magnetons per cell.

Q: Which of these has the highest total magnetic moment?
A: PmPrNdSm

Q: What is the density of states at the Fermi level in the third record?
A: 1.591 states/eV/atom